one) Sm2GaAu3 (GGA-PBE, relaxed); DOS at the Fermi energy = 0.577 states/eV per atom; volume = 142.34 Å³/cell
1.0
-1.9684 2.0877 8.6590
1.9684 -2.0877 8.6590
1.9684 2.0877 -8.6590
Sm Ga Au
2 1 3
Direct
0.0000 0.0000 0.0000
0.7492 0.2492 0.5000
0.5844 0.5844 0.0000
0.1651 0.6651 0.5000
0.3241 0.8241 0.5000
0.4340 0.4340 0.0000



two) Sm2GaAu3 (GGA-PBE, relaxed); DOS at the Fermi energy = 0.667 states/eV per atom; volume = 135.27 Å³/cell
1.0
3.5845 0.0000 0.0000
0.0000 4.6319 0.0000
0.0000 0.0000 8.1474
Sm Ga Au
2 1 3
Direct
0.0000 0.0000 0.0000
0.0000 0.5000 0.4826
0.5000 0.5000 0.8179
0.5000 0.0000 0.3318
0.5000 0.0000 0.6739
0.5000 0.5000 0.1395



two) is the most stable structure; the next one sits 91 meV per atom above it.